An optimized crystal structure of ErAgHgPt, computed with PBE-GGA.

extended XYZ file:
```
4
Lattice="0.0000 3.4266 3.4266 3.4266 0.0000 3.4266 3.4266 3.4266 0.0000" Properties=species:S:1:pos:R:3 pbc="T T T"
Er 0.0000 0.0000 0.0000
Ag 1.7133 1.7133 1.7133
Hg 3.4266 3.4266 3.4266
Pt 5.1400 5.1400 5.1400
```

Values from the calculation:
Energy of formation from the pure elements, kJ/mol of formula units: -203.0
Mass density, g/cm³: 13.842
N(E_F), states/eV/atom: 0.499
Energy, eV/atom: -3.9652
V, Å³ per cell: 80.47
Magnetic moment, Bohr magnetons per cell: 0.000


An optimized crystal structure of Er4AgHg2Rh, computed with PBE-GGA.

extended XYZ file:
```
8
Lattice="2.5490 1.4716 8.2528 -2.5490 1.4716 8.2528 0.0000 -2.9433 8.2528" Properties=species:S:1:pos:R:3 pbc="T T T"
Er 0.0000 0.0000 2.9175
Er 0.0000 0.0000 9.1567
Er 0.0000 0.0000 15.6018
Er 0.0000 0.0000 21.8409
Ag 0.0000 0.0000 12.3792
Hg 0.0000 0.0000 6.0276
Hg 0.0000 0.0000 18.7308
Rh 0.0000 0.0000 0.0000
```

Values from the calculation:
Energy of formation from the pure elements, kJ/mol of formula units: -418.2
Mass density, g/cm³: 11.452
N(E_F), states/eV/atom: 0.526
Energy, eV/atom: -4.1741
V, Å³ per cell: 185.74
Magnetic moment, Bohr magnetons per cell: 0.000


An optimized crystal structure of ErAgHgRh, computed with PBE-GGA.

extended XYZ file:
```
4
Lattice="0.0000 3.3956 3.3956 3.3956 0.0000 3.3956 3.3956 3.3956 0.0000" Properties=species:S:1:pos:R:3 pbc="T T T"
Er 0.0000 0.0000 0.0000
Ag 1.6978 1.6978 1.6978
Hg 3.3956 3.3956 3.3956
Rh 5.0934 5.0934 5.0934
```

Values from the calculation:
Energy of formation from the pure elements, kJ/mol of formula units: -135.1
Mass density, g/cm³: 12.271
N(E_F), states/eV/atom: 0.594
Energy, eV/atom: -4.1168
V, Å³ per cell: 78.30
Magnetic moment, Bohr magnetons per cell: 0.000


An optimized crystal structure of Er4AgHgRh2, computed with PBE-GGA.

extended XYZ file:
```
8
Lattice="2.4829 1.4335 8.1553 -2.4829 1.4335 8.1553 0.0000 -2.8670 8.1553" Properties=species:S:1:pos:R:3 pbc="T T T"
Er 0.0000 0.0000 3.0074
Er 0.0000 0.0000 9.1428
Er 0.0000 0.0000 15.3229
Er 0.0000 0.0000 21.4584
Ag 0.0000 0.0000 0.0000
Hg 0.0000 0.0000 12.2329
Rh 0.0000 0.0000 6.1684
Rh 0.0000 0.0000 18.2974
```

Values from the calculation:
Energy of formation from the pure elements, kJ/mol of formula units: -483.3
Mass density, g/cm³: 11.282
N(E_F), states/eV/atom: 0.567
Energy, eV/atom: -5.1396
V, Å³ per cell: 174.16
Magnetic moment, Bohr magnetons per cell: 0.000


An optimized crystal structure of ErScAgHg, computed with PBE-GGA.

extended XYZ file:
```
4
Lattice="0.0000 3.5665 3.5665 3.5665 0.0000 3.5665 3.5665 3.5665 0.0000" Properties=species:S:1:pos:R:3 pbc="T T T"
Er 0.0000 0.0000 0.0000
Sc 3.5665 3.5665 3.5665
Ag 5.3498 5.3498 5.3498
Hg 1.7833 1.7833 1.7833
```

Values from the calculation:
Energy of formation from the pure elements, kJ/mol of formula units: -143.6
Mass density, g/cm³: 9.529
N(E_F), states/eV/atom: 1.035
Energy, eV/atom: -3.8840
V, Å³ per cell: 90.73
Magnetic moment, Bohr magnetons per cell: 0.000


An optimized crystal structure of Sm2ErAgHg4, computed with PBE-GGA.

extended XYZ file:
```
8
Lattice="2.5826 1.4911 8.6371 -2.5826 1.4911 8.6371 0.0000 -2.9821 8.6371" Properties=species:S:1:pos:R:3 pbc="T T T"
Sm 0.0000 0.0000 6.2864
Sm 0.0000 0.0000 19.6250
Er 0.0000 0.0000 0.0000
Ag 0.0000 0.0000 12.9557
Hg 0.0000 0.0000 3.1870
Hg 0.0000 0.0000 9.5957
Hg 0.0000 0.0000 16.3158
Hg 0.0000 0.0000 22.7244
```

Values from the calculation:
Energy of formation from the pure elements, kJ/mol of formula units: -312.8
Mass density, g/cm³: 11.468
N(E_F), states/eV/atom: 0.792
Energy, eV/atom: -2.6626
V, Å³ per cell: 199.56
Magnetic moment, Bohr magnetons per cell: 0.001